The following is a PBE calculation of AsIrSeN2 after structural relaxation, from Alexandria.

Summary:
Relative energy among the computed polymorphs, kJ/mol of formula units: 325
ΔE_f (raw), eV per atom: 1.56

Geometry as CIF:
```
data_AsIrSeN2
_chemical_formula_sum 'As1 Ir1 Se1 N2'
_symmetry_space_group_name_H-M 'P 4/m m m'
_symmetry_Int_Tables_number 123
_symmetry_space_group_name_Hall '-P 4 2'
_cell_length_a 3.573
_cell_length_b 3.573
_cell_length_c 8.467
_cell_angle_alpha 90.00
_cell_angle_beta 90.00
_cell_angle_gamma 90.00
loop_
_atom_site_label
_atom_site_fract_x
_atom_site_fract_y
_atom_site_fract_z
_atom_site_occupancy
As1 0.000 0.000 0.000 1
Ir1 0.500 0.500 0.500 1
Se1 0.000 0.000 0.500 1
N1 0.000 0.500 0.000 1
```